DFT (PBE) results for KMoAs2 after structural relaxation.

abc: 3.822 4.723 4.723
angles: 90.00 90.00 90.00
Element x y z (fractional)
1 As 0.000 0.000 0.000
2 As 0.000 0.500 0.500
3 K 0.500 0.500 0.000
4 Mo 0.500 0.000 0.500

Values from the calculation:
density of states at the Fermi level: 0.64 states/eV/atom
formation enthalpy at 0 K: 0.692 eV per atom